Entry 1:
{
  "formula": "PaPtS",
  "functional": "GGA-PBE",
  "state": "relaxed",
  "lattice": [[4.2592, 0.0000, 0.0000], [0.0000, 4.1250, 0.0000], [0.0000, -2.0625, 3.5723]],
  "species": ["S", "Pa", "Pt"],
  "frac_coords": [[0.9875, 0.0000, 0.0000], [0.3226, 0.6667, 0.3333], [0.6899, 0.3333, 0.6667]],
  "sg": "P3m1, No. 156",
  "n_ef_per_ev_cell": 4.5,
  "raw_formation_energy_mev_per_atom": -959,
  "crystal_system": "trigonal"
}



Entry 2:
{
  "formula": "Sc2Pd8Pt",
  "functional": "GGA-PBE",
  "state": "relaxed",
  "lattice": [[4.0835, 0.0000, 0.0000], [0.0000, 6.3635, 0.2796], [-2.0418, -2.4042, 6.7124]],
  "species": ["Pd", "Pd", "Pd", "Pd", "Sc", "Pd", "Pt", "Pd", "Sc", "Pd", "Pd"],
  "frac_coords": [[0.4041, 0.5508, 0.8081], [0.0409, 0.7282, 0.0819], [0.5959, 0.4492, 0.1919], [0.1437, 0.1936, 0.2875], [0.2186, 0.6633, 0.4372], [0.3245, 0.0932, 0.6490], [0.5000, 0.0000, 0.0000], [0.6755, 0.9068, 0.3510], [0.7814, 0.3367, 0.5628], [0.8563, 0.8064, 0.7125], [0.9591, 0.2718, 0.9181]],
  "e_form_ev_per_atom": -0.55,
  "sg": "C2/m, No. 12",
  "n_ef_per_ev_cell": 6.2,
  "crystal_system": "monoclinic"
}



Entry 3:
{
  "formula": "LiAc2Pd3",
  "functional": "GGA-PBE",
  "state": "relaxed",
  "lattice": [[-3.0202, 3.4378, 0.1937], [-0.3437, -3.5172, 2.9135], [9.6419, 7.8713, 10.6398]],
  "species": ["Ac", "Pd", "Ac", "Pd", "Pd", "Pd", "Ac", "Ac", "Li", "Li", "Pd", "Pd"],
  "frac_coords": [[0.0000, 0.0000, 0.1197], [0.3333, 0.6667, 0.0112], [0.0000, 0.0000, 0.6197], [0.6667, 0.3333, 0.2500], [0.6667, 0.3333, 0.5112], [0.3333, 0.6667, 0.4888], [0.0000, 0.0000, 0.8803], [0.0000, 0.0000, 0.3803], [0.6667, 0.3333, 0.7500], [0.3333, 0.6667, 0.2500], [0.6667, 0.3333, 0.9888], [0.3333, 0.6667, 0.7500]],
  "e_form_ev_per_atom": -0.65,
  "sg": "P6_3/mmc, No. 194",
  "e_above_lowest_polymorph_mev_per_atom": 26,
  "n_ef_per_ev_cell": 5.9,
  "crystal_system": "hexagonal"
}



Entry 4:
{
  "formula": "Tb4Sm2N",
  "functional": "GGA-PBE",
  "state": "relaxed",
  "lattice": [[4.8220, 0.0000, 0.0000], [0.0000, 4.8220, 0.0000], [2.4110, 2.4110, 8.8805]],
  "species": ["Tb", "Tb", "Tb", "Sm", "Sm", "Tb", "N"],
  "frac_coords": [[0.8680, 0.8680, 0.2640], [0.5000, 0.0000, 0.0000], [0.0000, 0.5000, 0.0000], [0.3289, 0.3289, 0.3421], [0.6711, 0.6711, 0.6579], [0.1320, 0.1320, 0.7360], [0.0000, 0.0000, 0.0000]],
  "sg": "I4/mmm, No. 139",
  "n_ef_per_ev_cell": 8.0,
  "raw_formation_energy_mev_per_atom": -275,
  "crystal_system": "tetragonal"
}



Entry 5:
{
  "formula": "Sm3Co2Ge4",
  "functional": "GGA-PBE",
  "state": "relaxed",
  "lattice": [[-1.6313, 0.4278, -3.7718], [-4.0639, -1.8592, 3.8096], [-0.4684, 8.1888, 1.1313]],
  "species": ["Ge", "Co", "Sm", "Co", "Ge", "Sm", "Ge", "Sm", "Ge"],
  "frac_coords": [[0.0605, 0.1209, 0.3772], [0.6047, 0.2095, 0.2782], [0.6610, 0.3220, 0.6566], [0.3953, 0.7905, 0.7218], [0.9395, 0.8791, 0.6228], [0.3390, 0.6780, 0.3434], [0.2789, 0.5578, 0.9235], [0.0000, 0.0000, 0.0000], [0.7211, 0.4422, 0.0765]],
  "e_form_ev_per_atom": -0.64,
  "sg": "C2/m, No. 12",
  "e_above_lowest_polymorph_mev_per_atom": 58,
  "n_ef_per_ev_cell": 8.6,
  "crystal_system": "monoclinic"
}



Entry 6:
{
  "formula": "Pr2ErThSb4",
  "functional": "GGA-PBE",
  "state": "relaxed",
  "lattice": [[4.5022, 0.0000, 0.0000], [0.0000, 7.7648, 0.1343], [0.0000, -2.7276, 7.3122]],
  "species": ["Er", "Sb", "Sb", "Sb", "Pr", "Sb", "Pr", "Th"],
  "frac_coords": [[0.5000, 0.5000, 0.0000], [0.0000, 0.7423, 0.2396], [0.0000, 0.2577, 0.7604], [0.5000, 0.7475, 0.7566], [0.0000, 0.5000, 0.5000], [0.5000, 0.2525, 0.2434], [0.5000, 0.0000, 0.5000], [0.0000, 0.0000, 0.0000]],
  "sg": "P2/m, No. 10",
  "n_ef_per_ev_cell": 1.7,
  "raw_formation_energy_mev_per_atom": -1110,
  "crystal_system": "monoclinic"
}



Entry 7:
{
  "formula": "Na3LaTc",
  "functional": "GGA-PBE",
  "state": "relaxed",
  "lattice": [[4.7482, -2.7414, 0.0000], [0.0000, 5.4827, 0.0000], [0.0000, 0.0000, 11.0619]],
  "species": ["Na", "La", "Tc", "Na", "Na", "Na", "Tc", "La", "Na", "Na"],
  "frac_coords": [[0.0000, 0.0000, 0.7500], [0.6667, 0.3333, 0.2500], [0.0000, 0.0000, 0.0000], [0.6667, 0.3333, 0.5738], [0.3333, 0.6667, 0.0738], [0.0000, 0.0000, 0.2500], [0.0000, 0.0000, 0.5000], [0.3333, 0.6667, 0.7500], [0.3333, 0.6667, 0.4262], [0.6667, 0.3333, 0.9262]],
  "e_form_ev_per_atom": 0.96,
  "sg": "P6_3/mmc, No. 194",
  "e_above_lowest_polymorph_mev_per_atom": 930,
  "n_ef_per_ev_cell": 8.1,
  "crystal_system": "hexagonal"
}



Entry 8:
{
  "formula": "K2Sn2P",
  "functional": "GGA-PBE",
  "state": "relaxed",
  "lattice": [[7.4082, 0.0000, 0.0000], [0.0000, 7.4082, 0.0000], [0.0000, 0.0000, 5.8168]],
  "species": ["K", "P", "K", "P", "Sn", "K", "Sn", "K", "Sn", "Sn"],
  "frac_coords": [[0.1773, 0.6773, 0.5000], [0.5000, 0.5000, 0.0000], [0.8227, 0.3227, 0.5000], [0.0000, 0.0000, 0.0000], [0.3580, 0.8580, 0.0000], [0.6773, 0.8227, 0.5000], [0.1420, 0.3580, 0.0000], [0.3227, 0.1773, 0.5000], [0.8580, 0.6420, 0.0000], [0.6420, 0.1420, 0.0000]],
  "e_form_ev_per_atom": -0.04,
  "sg": "P4/mbm, No. 127",
  "n_ef_per_ev_cell": 4.9,
  "crystal_system": "tetragonal"
}



Entry 9:
{
  "formula": "Pr3Pd2Au7",
  "functional": "GGA-PBE",
  "state": "relaxed",
  "lattice": [[4.0317, 0.0000, 0.0000], [0.0000, 4.3335, 0.0000], [0.0000, -2.1668, 15.3880]],
  "species": ["Au", "Au", "Au", "Pr", "Au", "Pd", "Au", "Pr", "Pd", "Au", "Pr", "Au"],
  "frac_coords": [[0.0000, 0.7769, 0.5538], [0.0000, 0.2231, 0.4462], [0.5000, 0.0752, 0.1504], [0.5000, 0.5000, 0.0000], [0.0000, 0.5801, 0.1603], [0.0000, 0.8630, 0.7259], [0.0000, 0.0000, 0.0000], [0.5000, 0.3237, 0.6474], [0.0000, 0.1370, 0.2741], [0.5000, 0.9248, 0.8496], [0.5000, 0.6763, 0.3525], [0.0000, 0.4199, 0.8397]],
  "e_form_ev_per_atom": -0.55,
  "sg": "Cmmm, No. 65",
  "n_ef_per_ev_cell": 7.2,
  "crystal_system": "orthorhombic"
}



Entry 10:
{
  "formula": "ScTiMn2Be",
  "functional": "GGA-PBE",
  "state": "relaxed",
  "lattice": [[4.2089, 0.0000, 0.0000], [0.0000, 4.4104, 0.0000], [0.0000, 0.0000, 4.2089]],
  "species": ["Mn", "Mn", "Ti", "Sc", "Be"],
  "frac_coords": [[0.0000, 0.0000, 0.5000], [0.5000, 0.0000, 0.0000], [0.5000, 0.5000, 0.5000], [0.0000, 0.0000, 0.0000], [0.0000, 0.5000, 0.0000]],
  "e_form_ev_per_atom": 1.36,
  "sg": "P4/mmm, No. 123",
  "n_ef_per_ev_cell": 5.1,
  "crystal_system": "tetragonal"
}



Number 1: total energy -22.54 eV per cell. Number 2: total energy -66.31 eV per cell. Number 3: total energy -59.18 eV per cell. Number 4: total energy -38.21 eV per cell. Number 5: total energy -52.63 eV per cell. Number 6: total energy -46.91 eV per cell. Number 7: total energy -28.86 eV per cell. Number 8: total energy -31.58 eV per cell. Number 9: total energy -54.26 eV per cell. Number 10: total energy -29.51 eV per cell.